(1)
Here is Ba2TcNiW after structural relaxation from Alexandria. Energies are from PBE-GGA.

Geometry as CIF:
```
data_Ba2TcNiW
_cell_length_a 5.9332
_cell_length_b 5.9332
_cell_length_c 4.4633
_cell_angle_alpha 90.00
_cell_angle_beta 90.00
_cell_angle_gamma 90.00
_symmetry_space_group_name_H-M 'P 1'
_symmetry_Int_Tables_number 1
loop_
_symmetry_equiv_pos_as_xyz
'x,y,z'
loop_
_atom_site_label
_atom_site_fract_x
_atom_site_fract_y
_atom_site_fract_z
_atom_site_occupancy
Ba1 0.0000 0.5000 0.0000 1
Ba2 0.5000 0.0000 0.0000 1
Tc1 0.0000 0.0000 0.0000 1
Ni1 0.0000 0.0000 0.5000 1
W1 0.5000 0.5000 0.5000 1
```

Summary:
Fermi-level density of states in states/eV/f.u.: 5.46
Final energy in eV per atom: -4.941

(2)
Here is DyICl2 after structural relaxation from Alexandria. Energies are from PBE-GGA.

Geometry as CIF:
```
data_DyICl2
_cell_length_a 7.1606
_cell_length_b 7.1606
_cell_length_c 7.3601
_cell_angle_alpha 107.77
_cell_angle_beta 107.77
_cell_angle_gamma 109.31
_symmetry_space_group_name_H-M 'P 1'
_symmetry_Int_Tables_number 1
loop_
_symmetry_equiv_pos_as_xyz
'x,y,z'
loop_
_atom_site_label
_atom_site_fract_x
_atom_site_fract_y
_atom_site_fract_z
_atom_site_occupancy
Dy1 0.0926 0.9074 0.5000 1
Dy2 0.9074 0.0926 0.0000 1
I1 0.6593 0.8606 0.2009 1
I2 0.8606 0.6593 0.7009 1
Cl1 0.0122 0.5124 0.2298 1
Cl2 0.1370 0.2526 0.8098 1
Cl3 0.2526 0.1370 0.3098 1
Cl4 0.5124 0.0122 0.7298 1
```

Summary:
Fermi-level density of states in states/eV/f.u.: 0.00
ΔE_f (raw) in eV/f.u.: -7.85

(3)
Here is Tc2SnPd after structural relaxation from Alexandria. Energies are from PBE-GGA.

Geometry as CIF:
```
data_Tc2SnPd
_cell_length_a 5.8650
_cell_length_b 5.8650
_cell_length_c 5.8650
_cell_angle_alpha 101.35
_cell_angle_beta 101.35
_cell_angle_gamma 127.33
_symmetry_space_group_name_H-M 'P 1'
_symmetry_Int_Tables_number 1
loop_
_symmetry_equiv_pos_as_xyz
'x,y,z'
loop_
_atom_site_label
_atom_site_fract_x
_atom_site_fract_y
_atom_site_fract_z
_atom_site_occupancy
Tc1 0.1167 0.1250 0.4917 1
Tc2 0.3750 0.8833 0.0083 1
Tc3 0.6333 0.6250 0.5083 1
Tc4 0.8750 0.3667 0.9917 1
Sn1 0.2500 0.7500 0.5000 1
Sn2 0.5000 0.5000 0.0000 1
Pd1 0.0000 0.0000 0.0000 1
Pd2 0.7500 0.2500 0.5000 1
```

Summary:
Fermi-level density of states in states/eV/f.u.: 3.38
Final energy in eV per atom: -6.847

(4)
Here is Ta2BeZn after structural relaxation from Alexandria. Energies are from PBE-GGA.

Geometry as CIF:
```
data_Ta2BeZn
_cell_length_a 5.0920
_cell_length_b 5.0920
_cell_length_c 5.0920
_cell_angle_alpha 136.85
_cell_angle_beta 136.85
_cell_angle_gamma 62.67
_symmetry_space_group_name_H-M 'P 1'
_symmetry_Int_Tables_number 1
loop_
_symmetry_equiv_pos_as_xyz
'x,y,z'
loop_
_atom_site_label
_atom_site_fract_x
_atom_site_fract_y
_atom_site_fract_z
_atom_site_occupancy
Ta1 0.0000 0.0000 0.0000 1
Ta2 0.7500 0.2500 0.5000 1
Be1 0.5000 0.5000 0.0000 1
Zn1 0.2500 0.7500 0.5000 1
```

Summary:
Fermi-level density of states in states/eV/f.u.: 2.79
Final energy in eV per atom: -7.031